[1]
The following is a PBE calculation of an optimized crystal structure of SrBe2Br, from Alexandria.

The structure in extended XYZ format:
```
4
Lattice="5.4630 -0.0214 0.0000 1.6742 5.2002 0.0000 -3.5686 -2.5894 3.2257" Properties=species:S:1:pos:R:3 pbc="T T T"
Sr 2.7315 -0.0107 1.6128
Be 0.8371 2.6001 1.6128
Be 0.0000 0.0000 0.0000
Br 3.5686 2.5894 0.0000
```

Computed properties:
Energy above the lowest structure with this stoichiometry in meV/atom: 478
Final energy in eV/atom: -2.26
Crystal system: tetragonal
Space group: I-4m2
Calculated density in g/cm³: 3.358
Energy relative to the elements, uncorrected in eV per atom: 0.440

=====

[2]
The following is a PBE calculation of an optimized crystal structure of SrBeBr3, from Alexandria.

The structure in extended XYZ format:
```
5
Lattice="5.0335 0.0000 0.0000 0.0000 5.0335 0.0000 0.0000 0.0000 5.0335" Properties=species:S:1:pos:R:3 pbc="T T T"
Br 0.0000 0.0000 2.5167
Br 2.5167 0.0000 0.0000
Br 0.0000 2.5167 0.0000
Be 0.0000 0.0000 0.0000
Sr 2.5167 2.5167 2.5167
```

Computed properties:
Final energy in eV/atom: -3.02
Crystal system: cubic
Space group: Pm-3m
Calculated density in g/cm³: 4.379
Energy relative to the elements, uncorrected in eV per atom: -0.930

=====

[3]
The following is a PBE calculation of an optimized crystal structure of SrBe2Br, from Alexandria.

The structure in extended XYZ format:
```
4
Lattice="-0.1751 -3.7817 1.6075 3.3852 -2.3305 0.1588 1.4184 2.4419 5.9322" Properties=species:S:1:pos:R:3 pbc="T T T"
Sr 3.4080 -2.3789 5.9927
Be 1.3690 -1.9981 1.3629
Be 0.2691 -0.0163 0.6449
Br 1.8966 -1.1121 3.5473
```

Computed properties:
Energy above the lowest structure with this stoichiometry in meV/atom: 0
Final energy in eV/atom: -2.74
Crystal system: monoclinic
Space group: Cm
Calculated density in g/cm³: 3.203
Energy relative to the elements, uncorrected in eV per atom: -0.039

=====

[4]
The following is a PBE calculation of an optimized crystal structure of SrBe2Br, from Alexandria.

The structure in extended XYZ format:
```
4
Lattice="5.2673 0.0052 0.0000 -2.2811 4.7478 0.0000 0.0000 0.0000 4.1663" Properties=species:S:1:pos:R:3 pbc="T T T"
Be 0.0000 0.0000 0.0000
Be 1.4931 2.3765 0.0000
Br 2.6337 0.0026 2.0831
Sr -1.1406 2.3739 2.0831
```

Computed properties:
Energy above the lowest structure with this stoichiometry in meV/atom: 524
Final energy in eV/atom: -2.22
Crystal system: orthorhombic
Space group: Cmmm
Calculated density in g/cm³: 2.956
Energy relative to the elements, uncorrected in eV per atom: 0.485

=====

[5]
The following is a PBE calculation of an optimized crystal structure of SrBe4Br, from Alexandria.

The structure in extended XYZ format:
```
6
Lattice="0.0000 3.9155 3.9155 3.9155 0.0000 3.9155 3.9155 3.9155 0.0000" Properties=species:S:1:pos:R:3 pbc="T T T"
Be 5.1221 2.7090 5.1221
Be 2.7090 2.7090 2.7090
Be 2.7090 5.1221 5.1221
Be 5.1221 5.1221 2.7090
Br 5.8733 5.8733 5.8733
Sr 0.0000 0.0000 0.0000
```

Computed properties:
Final energy in eV/atom: -2.40
Crystal system: cubic
Space group: F-43m
Calculated density in g/cm³: 2.816
Energy relative to the elements, uncorrected in eV per atom: 0.639

=====

[6]
The following is a PBE calculation of an optimized crystal structure of SrBe2Br, from Alexandria.

The structure in extended XYZ format:
```
4
Lattice="-0.5537 -0.8608 5.8854 -3.7951 -2.5181 3.8655 1.4109 -4.4278 1.3689" Properties=species:S:1:pos:R:3 pbc="T T T"
Be -3.1567 -6.6806 10.5470
Be -1.2500 -5.0296 6.1327
Br -2.2034 -5.8551 8.3399
Sr -0.7345 -1.9517 2.7800
```

Computed properties:
Energy above the lowest structure with this stoichiometry in meV/atom: 91
Final energy in eV/atom: -2.65
Crystal system: monoclinic
Space group: C2/m
Calculated density in g/cm³: 2.989
Energy relative to the elements, uncorrected in eV per atom: 0.052

=====

[7]
The following is a PBE calculation of an optimized crystal structure of SrBe2Br, from Alexandria.

The structure in extended XYZ format:
```
4
Lattice="4.1531 0.0000 0.0000 0.0000 4.1531 0.0000 0.0000 0.0000 5.5777" Properties=species:S:1:pos:R:3 pbc="T T T"
Be 2.0766 2.0766 0.0000
Be 0.0000 0.0000 0.0000
Br 2.0766 0.0000 2.7888
Sr 0.0000 2.0766 2.7888
```

Computed properties:
Energy above the lowest structure with this stoichiometry in meV/atom: 427
Final energy in eV/atom: -2.31
Crystal system: tetragonal
Space group: P4/mmm
Calculated density in g/cm³: 3.203
Energy relative to the elements, uncorrected in eV per atom: 0.388

=====

[8]
The following is a PBE calculation of an optimized crystal structure of SrBe2Br, from Alexandria.

The structure in extended XYZ format:
```
4
Lattice="-0.0770 -0.8149 8.2700 2.3526 -3.5020 7.1599 3.5279 0.0816 7.5240" Properties=species:S:1:pos:R:3 pbc="T T T"
Be 5.7284 -4.1805 22.6568
Be 2.9769 -2.1725 11.7739
Sr 4.3526 -3.1765 17.2154
Br 1.4509 -1.0588 5.7385
```

Computed properties:
Energy above the lowest structure with this stoichiometry in meV/atom: 698
Final energy in eV/atom: -2.04
Crystal system: trigonal
Space group: R-3m
Calculated density in g/cm³: 3.091
Energy relative to the elements, uncorrected in eV per atom: 0.659